A plane-wave DFT calculation with PBE+U was carried out for crystalline PmEr2WO8 at its relaxed geometry.

The structure in POSCAR format:
```
PmEr2WO8
1.0
3.534 -3.568 0.000
3.534 3.568 0.000
0.000 0.000 6.917
Pm Er W O
1 2 1 8
Cartesian
0.000 0.000 0.000 Pm
3.534 0.000 1.782 Er
3.534 0.000 5.134 Er
0.000 0.000 3.458 W
3.534 2.243 2.022 O
3.534 2.243 4.895 O
1.968 0.000 3.458 O
2.246 0.000 0.000 O
4.821 0.000 0.000 O
5.100 0.000 3.458 O
3.534 -2.243 2.022 O
3.534 -2.243 4.895 O
```

The volume is 174.4 Å³/cell. Its magnetic moment is 0.85 μB/f.u. Its total energy is -94.92 eV/f.u. The symmetry is Cmmm, No. 65.